This record from Alexandria via LeMat-Bulk describes K2ZrSc2S6 after structural relaxation. The functional is PBE.

It has space group C2/m (No. 12), with a = 6.5189 Å, b = 11.2806 Å, c = 7.8378 Å, α = 90.00°, β = 106.20° and γ = 90.00°. The asymmetric unit holds K at (0.0000, 0.1671, 0.0000), Zr at (0.0000, 0.0000, 0.5000), Sc at (0.0000, 0.3332, 0.5000), S at (0.2296, 0.1657, 0.6900) and S at (0.2318, 0.5000, 0.6896).

The magnetic moment comes out at 0.000 μB per atom. The uncorrected formation energy is -1.73 eV/atom.